Compound: La2AgMoO6
Source: Alexandria via LeMat-Bulk
Functional: PBE with a Hubbard U
Structure: relaxed

Computed properties:
electronic total energy	-7.155	eV per atom

a b c (Å): 5.444 5.473 5.473
angles (deg): 90.00 90.00 90.00
Each line ends with the local moment (μB).
Fractional positions:
O 0.746 0.770 0.230  0.00
O 0.746 0.230 0.230  0.00
O 0.255 0.000 0.000  -0.03
La 0.999 0.500 0.000  0.02
O 0.111 0.500 0.500  -0.01
La 0.999 0.000 0.500  0.02
O 0.746 0.230 0.770  0.00
O 0.746 0.770 0.770  0.00
Ag 0.501 0.500 0.500  -0.01
Mo 0.596 0.000 0.000  0.92